A plane-wave DFT calculation with PBE-GGA was carried out for a relaxed structure of TbHoMg5.

Calculated values
- final energy (eV/atom) = -2.35
- M_tot (μB/f.u.) = 0.00
- energy of formation (eV/f.u.) = 0.75
- space-group type = C2/m, No. 12

Structure (POSCAR):
```
TbHoMg5
1.0
6.357 0.000 0.000
0.000 9.712 0.000
-2.247 0.000 6.166
Tb Ho Mg
2 2 10
Direct
0.000 0.000 0.000
0.500 0.500 0.000
0.000 0.500 0.500
0.500 0.000 0.500
0.000 0.000 0.500
0.205 0.287 0.226
0.205 0.713 0.226
0.295 0.213 0.774
0.295 0.787 0.774
0.500 0.500 0.500
0.705 0.213 0.226
0.705 0.787 0.226
0.795 0.287 0.774
0.795 0.713 0.774
```